(P)
A plane-wave DFT calculation with PBE-GGA was carried out for a relaxed CaNb3Zn crystal.

The structure in extended XYZ format:
```
5
Lattice="4.7402 0.0000 0.0000 0.0000 4.7402 0.0000 0.0000 0.0000 4.7402" Properties=species:S:1:pos:R:3 pbc="T T T"
Ca 0.0000 0.0000 0.0000
Nb 0.0000 0.0000 2.3701
Nb 0.0000 2.3701 0.0000
Nb 2.3701 0.0000 0.0000
Zn 2.3701 2.3701 2.3701
```

Calculated values
Theoretical density (g/cm3): 6.0

=====

(Q)
A plane-wave DFT calculation with PBE-GGA was carried out for a relaxed CaNb3Zn crystal.

The structure in extended XYZ format:
```
5
Lattice="4.8832 0.0000 0.0000 0.0000 4.8832 0.0000 0.0000 0.0000 4.8832" Properties=species:S:1:pos:R:3 pbc="T T T"
Ca 0.0000 0.0000 0.0000
Nb 0.0000 2.4416 2.4416
Nb 2.4416 0.0000 2.4416
Nb 2.4416 2.4416 0.0000
Zn 2.4416 2.4416 2.4416
```

Calculated values
Theoretical density (g/cm3): 5.5

=====

Which one is most stable, and which one is least stable? (Q) is the most stable of them, while (P) is the least stable.

=====

(P)
A plane-wave DFT calculation with PBE-GGA was carried out for a relaxed CaZrNb2 crystal.

The structure in extended XYZ format:
```
16
Lattice="7.8359 0.0000 0.0000 0.0000 7.8359 0.0000 0.0000 0.0000 5.9732" Properties=species:S:1:pos:R:3 pbc="T T T"
Ca 0.0000 0.0000 0.0000
Ca 0.0000 3.9180 1.4933
Ca 3.9180 0.0000 4.4799
Ca 3.9180 3.9180 2.9866
Zr 0.0000 0.0000 2.9866
Zr 0.0000 3.9180 4.4799
Zr 3.9180 0.0000 1.4933
Zr 3.9180 3.9180 0.0000
Nb 1.8903 1.9590 3.7333
Nb 1.9590 5.8083 5.2266
Nb 1.9590 5.9456 2.2400
Nb 2.0276 1.9590 0.7467
Nb 5.8083 5.8769 0.7467
Nb 5.8769 1.8903 2.2400
Nb 5.8769 2.0276 5.2266
Nb 5.9456 5.8769 3.7333
```

Calculated values
Theoretical density (g/cm3): 5.7

=====

(Q)
A plane-wave DFT calculation with PBE-GGA was carried out for a relaxed CaZrNb2 crystal.

The structure in extended XYZ format:
```
16
Lattice="7.0529 0.0000 0.0000 0.0000 7.0529 0.0000 0.0000 0.0000 7.0529" Properties=species:S:1:pos:R:3 pbc="T T T"
Ca 0.0000 0.0000 0.0000
Ca 0.0000 3.5265 3.5265
Ca 3.5265 0.0000 3.5265
Ca 3.5265 3.5265 0.0000
Zr 0.0000 0.0000 3.5265
Zr 0.0000 3.5265 0.0000
Zr 3.5265 0.0000 0.0000
Zr 3.5265 3.5265 3.5265
Nb 1.7632 1.7632 1.7632
Nb 1.7632 1.7632 5.2897
Nb 1.7632 5.2897 1.7632
Nb 1.7632 5.2897 5.2897
Nb 5.2897 1.7632 1.7632
Nb 5.2897 1.7632 5.2897
Nb 5.2897 5.2897 1.7632
Nb 5.2897 5.2897 5.2897
```

Calculated values
Theoretical density (g/cm3): 6.0

=====

Which one is most stable, and which one is least stable? (Q) is the most stable of them, while (P) is the least stable.

=====

(P)
A plane-wave DFT calculation with PBE-GGA was carried out for a relaxed CaNd4 crystal.

The structure in extended XYZ format:
```
10
Lattice="3.6959 0.0000 0.0000 0.0000 5.2303 0.0000 0.0000 0.0000 18.7617" Properties=species:S:1:pos:R:3 pbc="T T T"
Ca 0.0000 0.0000 0.0000
Ca 1.8479 2.6151 9.3809
Nd 0.0000 0.0000 3.8102
Nd 0.0000 0.0000 7.4002
Nd 0.0000 0.0000 11.3615
Nd 0.0000 0.0000 14.9515
Nd 1.8479 2.6151 1.9806
Nd 1.8479 2.6151 5.5707
Nd 1.8479 2.6151 13.1910
Nd 1.8479 2.6151 16.7811
```

Calculated values
Theoretical density (g/cm3): 5.7

=====

(Q)
A plane-wave DFT calculation with PBE-GGA was carried out for a relaxed CaNd4 crystal.

The structure in extended XYZ format:
```
10
Lattice="9.4522 0.0000 0.0000 0.0000 5.9290 0.0000 -0.0093 0.0000 7.2190" Properties=species:S:1:pos:R:3 pbc="T T T"
Ca 0.0000 0.0000 0.0000
Ca -0.0046 2.9645 3.6095
Nd 2.9534 1.4832 1.8036
Nd 2.9488 1.4813 5.4131
Nd 3.4311 4.4306 7.2153
Nd 3.4357 4.4629 3.6058
Nd 6.0073 1.4661 3.6132
Nd 6.0119 1.4984 0.0037
Nd 6.4941 4.4477 1.8059
Nd 6.4895 4.4458 5.4154
```

Calculated values
Theoretical density (g/cm3): 5.1

=====

Which one is most stable, and which one is least stable? (P) is the most stable of them, while (Q) is the least stable.

=====

(P)
A plane-wave DFT calculation with PBE-GGA was carried out for a relaxed Ca5Nd crystal.

The structure in extended XYZ format:
```
12
Lattice="6.1308 0.0000 0.0000 0.0000 18.4249 0.0000 0.0000 0.0000 4.2351" Properties=species:S:1:pos:R:3 pbc="T T T"
Ca 0.0000 0.0000 0.0000
Ca 0.0000 3.0395 2.1176
Ca 0.0000 6.2082 0.0000
Ca 0.0000 12.2167 0.0000
Ca 0.0000 15.3854 2.1176
Ca 3.0654 3.0042 0.0000
Ca 3.0654 6.1729 2.1176
Ca 3.0654 9.2124 0.0000
Ca 3.0654 12.2519 2.1176
Ca 3.0654 15.4206 0.0000
Nd 0.0000 9.2124 2.1176
Nd 3.0654 0.0000 2.1176
```

Calculated values
Theoretical density (g/cm3): 2.4

=====

(Q)
A plane-wave DFT calculation with PBE-GGA was carried out for a relaxed Ca5Nd crystal.

The structure in extended XYZ format:
```
6
Lattice="3.8172 0.0000 0.0000 0.0000 3.8172 0.0000 0.0000 0.0000 16.6508" Properties=species:S:1:pos:R:3 pbc="T T T"
Ca 0.0000 0.0000 0.0000
Ca 0.0000 0.0000 5.6784
Ca 0.0000 0.0000 10.9724
Ca 1.9086 1.9086 2.8228
Ca 1.9086 1.9086 13.8280
Nd 1.9086 1.9086 8.3254
```

Calculated values
Theoretical density (g/cm3): 2.4

=====

Which one is most stable, and which one is least stable? (Q) is the most stable of them, while (P) is the least stable.